! Fe2WO6 (PBE+U, optimized geometry); values from VASP
&SYSTEM
  ibrav = 0, nat = 18, ntyp = 3
/
ATOMIC_SPECIES
Fe 55.84 Fe.upf
W 183.84 W.upf
O 16.00 O.upf
ATOMIC_POSITIONS angstrom
Fe 0.210 -1.792 2.274
Fe 3.395 -0.105 1.519
Fe 3.816 -3.684 6.065
Fe 7.002 -1.997 5.310
W 1.898 -2.984 0.003
W 1.708 1.090 3.789
O 2.800 0.193 5.156
O 1.677 -0.525 2.668
O 0.561 -1.619 0.214
O 2.510 -2.961 4.592
O 1.525 -3.396 1.889
O 3.819 -1.929 6.977
O 4.412 -3.982 2.427
O 5.535 -3.263 4.915
O 6.651 -2.170 7.370
O 4.702 -0.827 2.992
O 5.687 -0.392 5.695
O 3.392 -1.859 0.607
CELL_PARAMETERS angstrom
-0.879 -4.410 1.665
4.675 -1.558 -1.659
3.416 2.180 7.578
! - spin magnetization (Bohr magnetons per cell) = 19.999
! - DFT total energy (eV per atom) = -7.005